(1)
## SiH12C4N10F6 (PBEsol)

Data for an optimized crystal structure of SiH12C4N10F6. Values from VASP.

Computed properties:
Total magnetic moment (μB per formula unit): 0.0
Symmetry: P-1 (2)
Total energy (eV for the cell shown): -211.0
Theoretical density (g cm⁻³): 1.898

Quantum ESPRESSO input file:
```
&SYSTEM
  ibrav = 0, nat = 33, ntyp = 5
/
ATOMIC_SPECIES
H 1.01 H.upf
C 12.01 C.upf
N 14.01 N.upf
F 19.00 F.upf
Si 28.09 Si.upf
ATOMIC_POSITIONS crystal
H 0.421 0.876 0.133
C 0.238 0.912 0.687
H 0.152 0.674 0.439
N 0.486 0.991 0.761
N 0.343 0.437 0.640
F 0.172 0.552 0.242
N 0.830 0.855 0.628
Si 0.000 0.500 0.000
F 0.737 0.365 0.034
C 0.154 0.281 0.500
F 0.063 0.299 0.947
H 0.693 0.497 0.245
H 0.113 0.102 0.845
F 0.263 0.635 0.966
N 0.923 0.028 0.254
H 0.409 0.071 0.298
H 0.591 0.929 0.702
C 0.846 0.719 0.500
H 0.848 0.326 0.561
N 0.514 0.009 0.239
N 0.093 0.749 0.534
N 0.077 0.972 0.746
H 0.579 0.124 0.867
N 0.170 0.145 0.372
H 0.521 0.439 0.673
F 0.828 0.448 0.758
H 0.479 0.561 0.327
H 0.887 0.898 0.155
H 0.307 0.503 0.755
F 0.937 0.701 0.053
N 0.907 0.251 0.466
N 0.657 0.563 0.360
C 0.762 0.088 0.313
CELL_PARAMETERS angstrom
-0.589 2.513 -5.468
3.516 -6.684 -0.754
-6.902 -2.239 2.024
```

=====

(2)
## SiH12C2N2F6 (PBEsol)

Data for an optimized crystal structure of SiH12C2N2F6. Values from VASP.

Computed properties:
Total magnetic moment (μB per formula unit): 0.0
Symmetry: C2/c (15)
Theoretical density (g cm⁻³): 1.614
Relative energy among the computed polymorphs (meV per atom): 3

Quantum ESPRESSO input file:
```
&SYSTEM
  ibrav = 0, nat = 46, ntyp = 5
/
ATOMIC_SPECIES
C 12.01 C.upf
F 19.00 F.upf
H 1.01 H.upf
N 14.01 N.upf
Si 28.09 Si.upf
ATOMIC_POSITIONS crystal
C 0.749 0.669 0.008
F 0.401 0.599 0.250
H 0.605 0.870 0.144
H 0.273 0.458 0.913
N 0.145 0.260 0.417
H 0.146 0.138 0.849
C 0.251 0.331 0.992
H 0.329 0.368 0.567
N 0.855 0.740 0.583
F 0.039 0.602 0.267
H 0.138 0.146 0.349
H 0.246 0.017 0.988
H 0.368 0.329 0.067
C 0.331 0.251 0.492
H 0.754 0.983 0.012
F 0.599 0.401 0.750
F 0.398 0.961 0.233
Si 0.224 0.776 0.250
H 0.854 0.862 0.151
H 0.983 0.754 0.512
F 0.221 0.784 0.068
H 0.458 0.273 0.413
H 0.017 0.246 0.488
Si 0.776 0.224 0.750
H 0.862 0.854 0.651
H 0.870 0.605 0.644
H 0.395 0.130 0.856
H 0.657 0.896 0.450
F 0.779 0.216 0.932
H 0.104 0.343 0.050
N 0.740 0.855 0.083
C 0.669 0.749 0.508
H 0.542 0.727 0.587
H 0.632 0.671 0.933
N 0.260 0.145 0.917
F 0.602 0.039 0.767
H 0.727 0.542 0.087
F 0.040 0.960 0.250
H 0.343 0.104 0.550
F 0.960 0.040 0.750
F 0.216 0.779 0.432
F 0.961 0.398 0.733
H 0.896 0.657 0.950
H 0.671 0.632 0.433
F 0.784 0.221 0.568
H 0.130 0.395 0.356
CELL_PARAMETERS angstrom
-5.746 -1.215 3.293
1.283 -6.610 -0.047
4.063 0.041 8.485
```

=====

(3)
## TiH12C2N6F6 (PBEsol)

Data for an optimized crystal structure of TiH12C2N6F6. Values from VASP.

Computed properties:
Total magnetic moment (μB per formula unit): 0.0
Symmetry: C2/m (12)
Total energy (eV for the cell shown): -162.5
Theoretical density (g cm⁻³): 1.790

Quantum ESPRESSO input file:
```
&SYSTEM
  ibrav = 0, nat = 27, ntyp = 5
/
ATOMIC_SPECIES
H 1.01 H.upf
N 14.01 N.upf
F 19.00 F.upf
C 12.01 C.upf
Ti 47.87 Ti.upf
ATOMIC_POSITIONS crystal
H 0.153 0.237 0.716
N 0.696 0.552 0.104
F 0.236 0.774 0.548
H 0.156 0.480 0.398
H 0.153 0.479 0.716
H 0.152 0.918 0.157
C 0.138 0.209 0.418
N 0.136 0.315 0.312
H 0.677 0.626 0.573
N 0.693 0.868 0.418
H 0.677 0.947 0.573
Ti 0.415 0.933 0.865
F 0.219 0.135 0.905
H 0.677 0.387 0.015
H 0.152 0.239 0.157
F 0.593 0.091 0.182
F 0.611 0.096 0.825
N 0.136 0.997 0.312
F 0.219 0.770 0.905
N 0.693 0.550 0.418
H 0.156 0.918 0.398
H 0.677 0.628 0.015
N 0.133 0.313 0.626
H 0.674 0.947 0.332
F 0.611 0.730 0.825
C 0.692 0.656 0.312
H 0.674 0.385 0.332
CELL_PARAMETERS angstrom
-1.086 5.169 -3.172
-6.143 -2.890 -2.607
0.563 1.515 7.140
```

=====

(4)
## ZrH24C8N2F6 (PBEsol)

Data for an optimized crystal structure of ZrH24C8N2F6. Values from VASP.

Computed properties:
Total magnetic moment (μB per formula unit): 0.0
Symmetry: R-3 (148)
Total energy (eV for the cell shown): -225.9
Theoretical density (g cm⁻³): 1.587

Quantum ESPRESSO input file:
```
&SYSTEM
  ibrav = 0, nat = 41, ntyp = 5
/
ATOMIC_SPECIES
H 1.01 H.upf
C 12.01 C.upf
F 19.00 F.upf
Zr 91.22 Zr.upf
N 14.01 N.upf
ATOMIC_POSITIONS crystal
H 0.737 0.504 0.730
C 0.672 0.977 0.673
H 0.508 0.732 0.027
H 0.033 0.510 0.729
H 0.510 0.727 0.729
H 0.496 0.971 0.270
H 0.971 0.263 0.270
C 0.328 0.023 0.327
H 0.263 0.496 0.270
C 0.678 0.672 0.673
C 0.023 0.322 0.327
F 0.827 0.819 0.176
H 0.492 0.268 0.973
H 0.729 0.031 0.506
F 0.819 0.178 0.176
H 0.969 0.265 0.494
Zr 0.000 0.000 0.000
C 0.977 0.678 0.673
H 0.732 0.734 0.027
H 0.265 0.271 0.494
F 0.822 0.173 0.824
H 0.734 0.508 0.027
H 0.490 0.273 0.271
H 0.271 0.969 0.494
C 0.322 0.328 0.327
F 0.181 0.822 0.824
F 0.178 0.827 0.176
C 0.676 0.676 0.973
H 0.031 0.735 0.506
H 0.727 0.033 0.729
H 0.967 0.490 0.271
H 0.273 0.967 0.271
H 0.266 0.492 0.973
C 0.324 0.324 0.027
F 0.173 0.181 0.824
N 0.751 0.751 0.748
H 0.268 0.266 0.973
H 0.735 0.729 0.506
H 0.504 0.029 0.730
H 0.029 0.737 0.730
N 0.249 0.249 0.252
CELL_PARAMETERS angstrom
8.041 0.000 0.000
4.021 6.964 0.000
4.021 2.321 6.605
```

=====

(5)
## ZrH14C2N8F6 (PBEsol)

Data for an optimized crystal structure of ZrH14C2N8F6. Values from VASP.

Computed properties:
Total magnetic moment (μB per formula unit): 0.0
Symmetry: P2_1/c (14)
Total energy (eV for the cell shown): -374.3
Theoretical density (g cm⁻³): 2.069

Quantum ESPRESSO input file:
```
&SYSTEM
  ibrav = 0, nat = 62, ntyp = 5
/
ATOMIC_SPECIES
F 19.00 F.upf
H 1.01 H.upf
N 14.01 N.upf
C 12.01 C.upf
Zr 91.22 Zr.upf
ATOMIC_POSITIONS crystal
F 0.144 0.987 0.136
H 0.253 0.538 0.067
N 0.068 0.479 0.205
F 0.259 0.370 0.458
H 0.645 0.955 0.145
C 0.721 0.513 0.790
H 0.570 0.498 0.292
N 0.410 0.009 0.793
C 0.721 0.987 0.290
H 0.253 0.962 0.567
H 0.355 0.455 0.355
N 0.590 0.509 0.707
H 0.019 0.931 0.358
H 0.387 0.637 0.909
N 0.645 0.505 0.873
N 0.590 0.991 0.207
Zr 0.000 0.000 0.000
C 0.279 0.013 0.710
F 0.741 0.870 0.042
H 0.645 0.545 0.645
N 0.410 0.491 0.293
H 0.747 0.462 0.933
F 0.856 0.013 0.864
H 0.019 0.569 0.858
H 0.622 0.875 0.597
H 0.747 0.038 0.433
N 0.573 0.009 0.628
F 0.259 0.130 0.958
N 0.355 0.005 0.627
F 0.856 0.487 0.364
H 0.355 0.045 0.855
N 0.427 0.991 0.372
H 0.997 0.022 0.765
H 0.378 0.125 0.403
H 0.003 0.522 0.735
F 0.741 0.630 0.542
H 0.613 0.363 0.091
C 0.279 0.487 0.210
H 0.387 0.863 0.409
H 0.613 0.137 0.591
Zr 0.000 0.500 0.500
H 0.622 0.625 0.097
H 0.981 0.069 0.642
N 0.932 0.979 0.295
H 0.430 0.502 0.708
F 0.114 0.712 0.974
F 0.144 0.513 0.636
H 0.981 0.431 0.142
H 0.378 0.375 0.903
N 0.932 0.521 0.795
N 0.355 0.495 0.127
F 0.114 0.788 0.474
N 0.068 0.021 0.705
H 0.003 0.978 0.235
N 0.573 0.491 0.128
F 0.886 0.288 0.026
H 0.997 0.478 0.265
F 0.886 0.212 0.526
H 0.430 0.998 0.208
N 0.427 0.509 0.872
N 0.645 0.995 0.373
H 0.570 0.002 0.792
CELL_PARAMETERS angstrom
-5.545 -2.843 -1.376
-0.077 -2.655 5.797
-4.981 12.111 5.481
```

=====

(6)
## SbH3C2O4F6 (PBEsol)

Data for an optimized crystal structure of SbH3C2O4F6. Values from VASP.

Computed properties:
Total magnetic moment (μB per formula unit): 0.1
Symmetry: Cc (9)
Total energy (eV for the cell shown): -183.9
Theoretical density (g cm⁻³): 2.856

Quantum ESPRESSO input file:
```
&SYSTEM
  ibrav = 0, nat = 32, ntyp = 5
/
ATOMIC_SPECIES
H 1.01 H.upf
F 19.00 F.upf
O 16.00 O.upf
C 12.01 C.upf
Sb 121.76 Sb.upf
ATOMIC_POSITIONS crystal
H 0.138 0.621 0.054
F 0.647 0.632 0.987
H 0.053 0.374 0.459
F 0.428 0.947 0.505
F 0.986 0.697 0.939
H 0.475 0.942 0.896
F 0.532 0.328 0.539
O 0.517 0.257 0.921
O 0.440 0.480 0.293
C 0.285 0.518 0.227
H 0.454 0.421 0.396
O 0.982 0.527 0.221
F 0.743 0.953 0.439
C 0.309 0.169 0.792
F 0.057 0.076 0.005
O 0.008 0.835 0.600
Sb 0.642 0.142 0.496
O 0.313 0.853 0.793
H 0.933 0.916 0.554
F 0.453 0.044 0.213
F 0.711 0.007 0.039
C 0.209 0.942 0.727
F 0.855 0.340 0.487
O 0.265 0.592 0.100
O 0.163 0.404 0.421
H 0.584 0.406 0.959
F 0.031 0.950 0.279
O 0.194 0.239 0.721
C 0.123 0.482 0.292
F 0.669 0.760 0.713
F 0.829 0.248 0.779
Sb 0.854 0.854 0.996
CELL_PARAMETERS angstrom
-4.801 -5.392 -2.969
7.365 -2.339 -1.101
-0.594 0.972 7.965
```

=====

Which value of total magnetic moment does entry 5 give? 0.0 μB per formula unit

=====

total magnetic moment of number 5 (ZrH14C2N8F6)? 0.0 μB per formula unit

=====

What did the third record say?
## TiH12C2N6F6 (PBEsol)

Data for an optimized crystal structure of TiH12C2N6F6. Values from VASP.

Computed properties:
Total magnetic moment (μB per formula unit): 0.0
Symmetry: C2/m (12)
Total energy (eV for the cell shown): -162.5
Theoretical density (g cm⁻³): 1.790

Quantum ESPRESSO input file:
```
&SYSTEM
  ibrav = 0, nat = 27, ntyp = 5
/
ATOMIC_SPECIES
H 1.01 H.upf
N 14.01 N.upf
F 19.00 F.upf
C 12.01 C.upf
Ti 47.87 Ti.upf
ATOMIC_POSITIONS crystal
H 0.153 0.237 0.716
N 0.696 0.552 0.104
F 0.236 0.774 0.548
H 0.156 0.480 0.398
H 0.153 0.479 0.716
H 0.152 0.918 0.157
C 0.138 0.209 0.418
N 0.136 0.315 0.312
H 0.677 0.626 0.573
N 0.693 0.868 0.418
H 0.677 0.947 0.573
Ti 0.415 0.933 0.865
F 0.219 0.135 0.905
H 0.677 0.387 0.015
H 0.152 0.239 0.157
F 0.593 0.091 0.182
F 0.611 0.096 0.825
N 0.136 0.997 0.312
F 0.219 0.770 0.905
N 0.693 0.550 0.418
H 0.156 0.918 0.398
H 0.677 0.628 0.015
N 0.133 0.313 0.626
H 0.674 0.947 0.332
F 0.611 0.730 0.825
C 0.692 0.656 0.312
H 0.674 0.385 0.332
CELL_PARAMETERS angstrom
-1.086 5.169 -3.172
-6.143 -2.890 -2.607
0.563 1.515 7.140
```

=====

Among the records above, which one has the lowest theoretical density? ZrH24C8N2F6